Computed, not measured: an optimized crystal structure of TlCrSe3 at the PBE level of DFT. Values from VASP.

uncorrected energy = -4.482 eV/atom
formation energy from raw total energies = 0.1 kcal/mol of atoms
E above lowest polymorph = 257 meV per atom
volume = 115.6 Å³/cell

Structure (Quantum ESPRESSO input):
```
&SYSTEM
  ibrav = 0, nat = 5, ntyp = 3
/
ATOMIC_SPECIES
Se 78.96 Se.upf
Tl 204.38 Tl.upf
Cr 52.00 Cr.upf
ATOMIC_POSITIONS crystal
Se 0.000 0.000 0.500
Se 0.000 0.500 0.000
Tl 0.500 0.500 0.500
Se 0.500 0.000 0.000
Cr 0.000 0.000 0.000
CELL_PARAMETERS angstrom
-3.270 -1.115 -3.433
1.856 -4.493 -0.309
-3.096 -1.515 3.441
```